This record from the Open Quantum Materials Database describes an optimized crystal structure of LuNpZn. The functional is PBE.

The structure belongs to space group F-43m (No. 216); the cell edges are 6.878, 6.878 and 6.878 Å and the angles 90.00°, 90.00° and 90.00°. Symmetry generates all atoms from Lu at (0.000, 0.000, 0.000), Np at (0.000, 0.000, 0.500) and Zn at (0.250, 0.250, 0.250).

The calculation puts the energy of formation from the pure elements at 0.517 eV/atom. As for the energy above the most stable polymorph in this dataset: 0 meV per atom. The uncorrected energy comes out at -5.669 eV/atom. The value obtained for the magnetic moment is 20.8 μB per cell.

This record from the Open Quantum Materials Database describes an optimized crystal structure of LuZrNp. The functional is PBE.

The structure belongs to space group F-43m (No. 216); the cell edges are 6.901, 6.901 and 6.901 Å and the angles 90.00°, 90.00° and 90.00°. Symmetry generates all atoms from Lu at (0.000, 0.000, 0.000), Zr at (0.250, 0.250, 0.250) and Np at (0.250, 0.250, 0.750).

The calculation puts the energy of formation from the pure elements at 1.258 eV/atom. The uncorrected energy comes out at -7.356 eV/atom. The value obtained for the magnetic moment is 21.0 μB per cell.

This record from the Open Quantum Materials Database describes an optimized crystal structure of LuO. The functional is PBE.

The structure belongs to space group F-43m (No. 216); the cell edges are 5.112, 5.112 and 5.112 Å and the angles 90.00°, 90.00° and 90.00°. Symmetry generates all atoms from Lu at (0.000, 0.000, 0.000) and O at (0.250, 0.250, 0.750).

The uncorrected energy comes out at -7.508 eV/atom. The value obtained for the magnetic moment is 3.5 μB per cell.